A relaxed structure of Li3Fe4CoO8. Source: the Alexandria database, functional PBE+U.

## Properties
The calculation puts the total energy at -6.149 eV/atom.

Geometry as CIF:
```
data_Li3Fe4CoO8
_symmetry_space_group_name_H-M 'C 1 2/m 1'
_symmetry_Int_Tables_number 12
_cell_length_a 10.427
_cell_length_b 5.983
_cell_length_c 5.979
_cell_angle_alpha 90.00
_cell_angle_beta 124.70
_cell_angle_gamma 90.00
loop_
_symmetry_equiv_pos_as_xyz
'x,y,z'
'-x,-y,-z'
'-x,y,-z'
'x,-y,z'
'x+1/2,y+1/2,z'
'-x+1/2,-y+1/2,-z'
'-x+1/2,y+1/2,-z'
'x+1/2,-y+1/2,z'
loop_
_atom_site_label
_atom_site_type_symbol
_atom_site_fract_x
_atom_site_fract_y
_atom_site_fract_z
Li1 Li 0.000 0.000 0.000
Li2 Li 0.250 0.250 0.500
Fe1 Fe 0.000 0.000 0.500
Fe2 Fe 0.000 0.500 0.000
Fe3 Fe 0.250 0.250 0.000
Co1 Co 0.000 0.500 0.500
O1 O 0.008 0.256 0.764
O2 O 0.242 0.500 0.234
O3 O 0.246 0.500 0.765
```